Here is crystalline Re2PtCl at its relaxed geometry from the Alexandria database. Energies are from PBEsol.

Cell and atoms, written as CIF:
```
data_Re2PtCl
_space_group_name_H-M_alt 'C m m m'
_space_group_IT_number 65
_space_group_name_Hall '-C 2 2'
_cell_length_a 2.7299
_cell_length_b 4.8385
_cell_length_c 9.1414
_cell_angle_alpha 90.00
_cell_angle_beta 90.00
_cell_angle_gamma 90.00
loop_
_atom_site_label
_atom_site_type_symbol
_atom_site_fract_x
_atom_site_fract_y
_atom_site_fract_z
_atom_site_occupancy
Re1 Re 0.0000 0.0000 0.2441 1
Pt1 Pt 0.0000 0.5000 0.5000 1
Cl1 Cl 0.0000 0.5000 0.0000 1
```

Computed properties:
uncorrected formation energy = 0.748 eV/atom


Here is crystalline Na2ReRhF at its relaxed geometry from the Alexandria database. Energies are from PBEsol.

Cell and atoms, written as CIF:
```
data_Na2ReRhF
_space_group_name_H-M_alt 'P 4/m m m'
_space_group_IT_number 123
_space_group_name_Hall '-P 4 2'
_cell_length_a 5.4906
_cell_length_b 5.4906
_cell_length_c 4.5488
_cell_angle_alpha 90.00
_cell_angle_beta 90.00
_cell_angle_gamma 90.00
loop_
_atom_site_label
_atom_site_type_symbol
_atom_site_fract_x
_atom_site_fract_y
_atom_site_fract_z
_atom_site_occupancy
Na1 Na 0.0000 0.5000 0.0000 1
Re1 Re 0.0000 0.0000 0.5000 1
Rh1 Rh 0.0000 0.0000 0.0000 1
F1 F 0.5000 0.5000 0.5000 1
```

Computed properties:
uncorrected formation energy = 0.792 eV/atom


Here is crystalline LiZr2Ir at its relaxed geometry from the Alexandria database. Energies are from PBEsol.

Cell and atoms, written as CIF:
```
data_LiZr2Ir
_space_group_name_H-M_alt 'P 4/m m m'
_space_group_IT_number 123
_space_group_name_Hall '-P 4 2'
_cell_length_a 4.5617
_cell_length_b 4.5617
_cell_length_c 3.3333
_cell_angle_alpha 90.00
_cell_angle_beta 90.00
_cell_angle_gamma 90.00
loop_
_atom_site_label
_atom_site_type_symbol
_atom_site_fract_x
_atom_site_fract_y
_atom_site_fract_z
_atom_site_occupancy
Li1 Li 0.0000 0.0000 0.0000 1
Zr1 Zr 0.0000 0.5000 0.5000 1
Ir1 Ir 0.5000 0.5000 0.0000 1
```

Computed properties:
formation enthalpy at 0 K = -0.42 eV per atom


Here is crystalline NbHgI2N at its relaxed geometry from the Alexandria database. Energies are from PBEsol.

Cell and atoms, written as CIF:
```
data_NbHgI2N
_space_group_name_H-M_alt 'P 4/m m m'
_space_group_IT_number 123
_space_group_name_Hall '-P 4 2'
_cell_length_a 5.9653
_cell_length_b 5.9653
_cell_length_c 3.9285
_cell_angle_alpha 90.00
_cell_angle_beta 90.00
_cell_angle_gamma 90.00
loop_
_atom_site_label
_atom_site_type_symbol
_atom_site_fract_x
_atom_site_fract_y
_atom_site_fract_z
_atom_site_occupancy
Nb1 Nb 0.0000 0.0000 0.0000 1
Hg1 Hg 0.5000 0.5000 0.5000 1
I1 I 0.0000 0.5000 0.5000 1
N1 N 0.5000 0.5000 0.0000 1
```

Computed properties:
uncorrected formation energy = 1.434 eV/atom


Here is crystalline LiMg2Pt at its relaxed geometry from the Alexandria database. Energies are from PBEsol.

Cell and atoms, written as CIF:
```
data_LiMg2Pt
_space_group_name_H-M_alt 'R -3 m'
_space_group_IT_number 166
_space_group_name_Hall '-R 3 2"'
_cell_length_a 3.0015
_cell_length_b 3.0015
_cell_length_c 27.5216
_cell_angle_alpha 90.00
_cell_angle_beta 90.00
_cell_angle_gamma 120.00
loop_
_atom_site_label
_atom_site_type_symbol
_atom_site_fract_x
_atom_site_fract_y
_atom_site_fract_z
_atom_site_occupancy
Li1 Li 0.0000 0.0000 0.0000 1
Mg1 Mg 0.0000 0.0000 0.2418 1
Pt1 Pt 0.0000 0.0000 0.5000 1
```

Computed properties:
formation enthalpy at 0 K = -0.28 eV per atom


Here is crystalline KGe2P3O12 at its relaxed geometry from the Alexandria database. Energies are from PBEsol.

Cell and atoms, written as CIF:
```
data_KGe2P3O12
_space_group_name_H-M_alt 'R -3'
_space_group_IT_number 148
_space_group_name_Hall '-R 3'
_cell_length_a 8.0362
_cell_length_b 8.0362
_cell_length_c 22.6475
_cell_angle_alpha 90.00
_cell_angle_beta 90.00
_cell_angle_gamma 120.00
loop_
_atom_site_label
_atom_site_type_symbol
_atom_site_fract_x
_atom_site_fract_y
_atom_site_fract_z
_atom_site_occupancy
K1 K 0.0000 0.0000 0.0000 1
K2 K 0.0000 0.0000 0.5000 1
Ge1 Ge 0.0000 0.0000 0.1473 1
Ge2 Ge 0.0000 0.0000 0.3474 1
P1 P 0.0011 0.7169 0.2507 1
O1 O 0.0215 0.1920 0.0944 1
O2 O 0.0362 0.8276 0.1925 1
O3 O 0.0780 0.2127 0.3982 1
O4 O 0.0883 0.2218 0.6993 1
```

Computed properties:
uncorrected formation energy = -2.071 eV/atom


Here is crystalline Ho5Sb3 at its relaxed geometry from the Alexandria database. Energies are from PBEsol.

Cell and atoms, written as CIF:
```
data_Ho5Sb3
_space_group_name_H-M_alt 'P 63/m c m'
_space_group_IT_number 193
_space_group_name_Hall '-P 6c 2'
_cell_length_a 8.8141
_cell_length_b 8.8141
_cell_length_c 6.1582
_cell_angle_alpha 90.00
_cell_angle_beta 90.00
_cell_angle_gamma 120.00
loop_
_atom_site_label
_atom_site_type_symbol
_atom_site_fract_x
_atom_site_fract_y
_atom_site_fract_z
_atom_site_occupancy
Ho1 Ho 0.0000 0.2463 0.2500 1
Ho2 Ho 0.3333 0.6667 0.0000 1
Sb1 Sb 0.0000 0.3897 0.7500 1
```

Computed properties:
uncorrected formation energy = -0.964 eV/atom


Here is crystalline CoCuGe3 at its relaxed geometry from the Alexandria database. Energies are from PBEsol.

Cell and atoms, written as CIF:
```
data_CoCuGe3
_space_group_name_H-M_alt 'P m -3 m'
_space_group_IT_number 221
_space_group_name_Hall '-P 4 2 3'
_cell_length_a 4.4405
_cell_length_b 4.4405
_cell_length_c 4.4405
_cell_angle_alpha 90.00
_cell_angle_beta 90.00
_cell_angle_gamma 90.00
loop_
_atom_site_label
_atom_site_type_symbol
_atom_site_fract_x
_atom_site_fract_y
_atom_site_fract_z
_atom_site_occupancy
Co1 Co 0.0000 0.0000 0.0000 1
Cu1 Cu 0.5000 0.5000 0.5000 1
Ge1 Ge 0.0000 0.0000 0.5000 1
```

Computed properties:
formation enthalpy at 0 K = 0.39 eV per atom


no.,E (eV for the cell shown)
1,-65.28
2,-22.24
3,-31.66
4,-16.28
5,-40.44
6,-771.93
7,-92.26
8,-24.93